Density functional theory data (GGA-PBE) for crystalline Li2DySbO4 at its relaxed geometry.

Cell and atoms, written as POSCAR:
```
Li2DySbO4
1.0
4.2298 0.0024 -0.0003
-0.0025 5.4599 0.2401
-2.1140 -2.4742 4.5556
Sb Dy O Li
1 1 4 2
direct
0.7300 0.2081 0.4600
0.5159 0.5354 0.0319
0.2730 0.2101 0.5462
0.9773 0.3955 0.9547
0.7486 0.8543 0.4972
0.4934 0.9150 0.9869
0.2973 0.8708 0.5947
0.9645 0.0109 0.9284
```

D(E_F) ... 0.0 states/eV/f.u.
Calculated total energy ... -6.2436 eV per atom

Density functional theory data (GGA-PBE) for crystalline La5Zn3 at its relaxed geometry.

Cell and atoms, written as POSCAR:
```
La5Zn3
1.0
6.6856 -0.0300 0.0000
1.8473 6.4254 0.0000
0.0000 0.0000 5.3393
La Zn
5 3
direct
0.7060 0.2940 0.5000
0.0000 0.5000 0.0000
0.0000 0.0000 0.0000
0.5000 0.0000 0.0000
0.2940 0.7060 0.5000
0.5000 0.5000 0.0000
0.2216 0.2216 0.5000
0.7784 0.7784 0.5000
```

ΔE to the lowest computed polymorph ... 77 meV/atom
D(E_F) ... 11.1 states/eV/f.u.
Energy of formation ... -154 meV/atom

Density functional theory data (GGA-PBE) for crystalline SrPr2Ga at its relaxed geometry.

Cell and atoms, written as POSCAR:
```
SrPr2Ga
1.0
3.7943 0.0000 0.0000
0.0000 3.7943 0.0000
0.0000 0.0000 9.7894
Ga Pr Sr
1 2 1
direct
0.5000 0.5000 0.0000
0.0000 0.0000 0.1779
0.0000 0.0000 0.8221
0.5000 0.5000 0.5000
```

ΔE to the lowest computed polymorph ... 0 meV/atom
D(E_F) ... 6.0 states/eV/f.u.
Energy of formation ... -185 meV/atom

Density functional theory data (GGA-PBE) for crystalline NdNpSe4 at its relaxed geometry.

Cell and atoms, written as POSCAR:
```
NdNpSe4
1.0
-6.5543 -1.6459 -0.8765
0.2410 -3.9403 5.5968
-1.8969 5.4963 3.9512
Se Nd Np
8 2 2
direct
0.2498 0.7498 0.2646
0.2502 0.2498 0.7354
0.7499 0.7497 0.7357
0.7502 0.2502 0.7354
0.2499 0.7503 0.7357
0.2501 0.2503 0.2643
0.7501 0.2497 0.2643
0.7498 0.7502 0.2646
0.0000 0.0000 0.0000
0.5000 0.5000 0.0000
0.5000 0.0000 0.5000
0.0000 0.5000 0.5000
```

D(E_F) ... 10.5 states/eV/f.u.
Calculated total energy ... -6.4920 eV per atom

Density functional theory data (GGA-PBE) for crystalline Ba2InPtN at its relaxed geometry.

Cell and atoms, written as POSCAR:
```
Ba2InPtN
1.0
-3.4441 -4.9153 2.4321
4.1037 -1.8316 2.1096
-1.1914 3.4740 5.3338
Pt N Ba In
1 1 2 1
direct
0.0000 0.5000 0.0000
0.5000 0.5000 0.5000
0.5000 0.0000 0.0000
0.0000 0.0000 0.5000
0.0000 0.0000 0.0000
```

ΔE to the lowest computed polymorph ... 1199 meV/atom
D(E_F) ... 4.7 states/eV/f.u.

Density functional theory data (GGA-PBE) for crystalline Ac12Mn3H5 at its relaxed geometry.

Cell and atoms, written as POSCAR:
```
Ac12Mn3H5
1.0
14.6765 0.0000 0.0000
-4.8922 13.8372 0.0000
-4.8922 -6.9186 11.9833
Ac H Mn
48 20 12
direct
0.1185 0.7125 0.5233
0.5953 0.9767 0.6892
0.7875 0.4767 0.3815
0.9767 0.3815 0.2875
0.0233 0.6185 0.7125
0.0953 0.1892 0.4767
0.5939 0.8815 0.4047
0.6892 0.4767 0.5953
0.5233 0.3108 0.9047
0.3815 0.9767 0.7875
0.9061 0.8108 0.7875
0.4767 0.7875 0.8815
0.4061 0.2875 0.3108
0.6892 0.2125 0.5939
0.3108 0.5233 0.4047
0.6185 0.0233 0.2125
0.4061 0.1185 0.5953
0.8815 0.5939 0.9047
0.2875 0.4061 0.8108
0.1892 0.0939 0.7125
0.4047 0.0233 0.3108
0.4767 0.6892 0.0953
0.5233 0.2125 0.1185
0.8108 0.9047 0.0233
0.9061 0.0953 0.6185
0.5953 0.6185 0.4061
0.1892 0.0953 0.9767
0.1185 0.4061 0.0953
0.9047 0.8108 0.5233
0.9047 0.0939 0.8815
0.0953 0.9061 0.1185
0.3815 0.4047 0.0939
0.0233 0.4047 0.8108
0.7875 0.3108 0.9061
0.2875 0.8815 0.9767
0.0939 0.1892 0.2125
0.8815 0.2875 0.4767
0.6185 0.5953 0.9061
0.7125 0.1185 0.0233
0.3108 0.7875 0.4061
0.5939 0.7125 0.6892
0.7125 0.5939 0.1892
0.9767 0.5953 0.1892
0.2125 0.6892 0.0939
0.0939 0.9047 0.3815
0.8108 0.9061 0.2875
0.4047 0.3815 0.5939
0.2125 0.5233 0.6185
0.0000 0.0000 0.0000
0.3750 0.1250 0.7500
0.8750 0.6250 0.7500
0.8750 0.2500 0.6250
0.0000 0.5000 0.5000
0.6250 0.7500 0.8750
0.1250 0.3750 0.2500
0.0000 0.5000 0.0000
0.6250 0.8750 0.2500
0.2500 0.8750 0.1250
0.0000 0.0000 0.5000
0.5000 0.5000 0.5000
0.2500 0.3750 0.6250
0.5000 0.0000 0.5000
0.7500 0.1250 0.8750
0.7500 0.6250 0.3750
0.5000 0.5000 0.0000
0.1250 0.7500 0.3750
0.3750 0.2500 0.1250
0.5000 0.0000 0.0000
0.6250 0.3750 0.7500
0.3750 0.7500 0.6250
0.2500 0.1250 0.3750
0.7500 0.3750 0.1250
0.7500 0.8750 0.6250
0.2500 0.6250 0.8750
0.8750 0.1250 0.2500
0.8750 0.7500 0.1250
0.1250 0.2500 0.8750
0.6250 0.2500 0.3750
0.3750 0.6250 0.2500
0.1250 0.8750 0.7500
```

D(E_F) ... 26.1 states/eV/f.u.
Calculated total energy ... -4.6237 eV per atom

Density functional theory data (GGA-PBE) for crystalline Nd2ZnNi at its relaxed geometry.

Cell and atoms, written as POSCAR:
```
Nd2ZnNi
1.0
-3.3091 -0.7716 -1.1563
1.3814 -2.1591 -2.5125
-0.3124 -5.5492 4.5968
Nd Zn Ni
2 1 1
direct
0.0000 0.0000 0.2336
0.0000 0.0000 0.7664
0.5000 0.5000 0.5000
0.5000 0.5000 0.0000
```

D(E_F) ... 4.0 states/eV/f.u.
Energy of formation ... -261 meV/atom

Density functional theory data (GGA-PBE) for crystalline CaZrP2S at its relaxed geometry.

Cell and atoms, written as POSCAR:
```
CaZrP2S
1.0
-4.2863 1.9348 -1.5562
-0.6987 -3.9191 -2.9480
-2.3714 -2.3204 3.6468
P S Zr Ca
2 1 1 1
direct
0.0000 0.5000 0.0000
0.5000 0.0000 0.0000
0.0000 0.0000 0.5000
0.5000 0.5000 0.5000
0.0000 0.0000 0.0000
```

ΔE to the lowest computed polymorph ... 1232 meV/atom
D(E_F) ... 4.7 states/eV/f.u.

Density functional theory data (GGA-PBE) for crystalline Ce2NdGa6 at its relaxed geometry.

Cell and atoms, written as POSCAR:
```
Ce2NdGa6
1.0
-2.4996 0.9513 3.6166
-3.9698 -6.4012 1.7372
2.0181 -5.0271 5.5143
Ga Ce Nd
6 2 1
direct
0.1903 0.5051 0.1144
0.0000 0.8000 0.2000
0.8097 0.8856 0.4949
0.0000 0.2000 0.8000
0.8097 0.4949 0.8856
0.1903 0.1144 0.5051
0.3921 0.1079 0.1079
0.6079 0.8921 0.8921
0.5000 0.5000 0.5000
```

ΔE to the lowest computed polymorph ... 213 meV/atom
D(E_F) ... 10.9 states/eV/f.u.
Energy of formation ... -406 meV/atom

Density functional theory data (GGA-PBE) for crystalline PaNbReSi2 at its relaxed geometry.

Cell and atoms, written as POSCAR:
```
PaNbReSi2
1.0
4.0010 0.0000 0.0000
0.0000 4.0010 0.0000
-2.0005 -2.0005 5.5723
Re Nb Pa Si
1 1 1 2
direct
0.7500 0.2500 0.5000
0.2500 0.7500 0.5000
0.0000 0.0000 0.0000
0.6054 0.6054 0.2107
0.3946 0.3946 0.7893
```

D(E_F) ... 5.8 states/eV/f.u.
Calculated total energy ... -9.0402 eV per atom

Density functional theory data (GGA-PBE) for crystalline CoAg2Cl at its relaxed geometry.

Cell and atoms, written as POSCAR:
```
CoAg2Cl
1.0
-2.0104 -1.3782 -3.9538
-3.6429 -0.2717 4.6486
-1.5380 2.5107 -0.1464
Ag Cl Co
2 1 1
direct
0.0000 0.0000 0.0000
0.5000 0.0000 0.5000
0.0000 0.5000 0.5000
0.5000 0.5000 0.0000
```

ΔE to the lowest computed polymorph ... 349 meV/atom
D(E_F) ... 3.0 states/eV/f.u.

Density functional theory data (GGA-PBE) for crystalline CePm3Al4 at its relaxed geometry.

Cell and atoms, written as POSCAR:
```
CePm3Al4
1.0
-1.8282 -2.6308 -1.7780
1.4341 -3.4703 3.6601
-8.6335 2.2631 5.5286
Pm Al Ce
3 4 1
direct
0.5000 0.5000 0.5000
0.5000 0.0000 0.7498
0.5000 0.0000 0.2502
0.0000 0.5000 0.7490
0.0000 0.0000 0.5000
0.0000 0.0000 0.0000
0.0000 0.5000 0.2510
0.5000 0.5000 0.0000
```

D(E_F) ... 7.9 states/eV/f.u.
Energy of formation ... -333 meV/atom

> Among the records above, which one has the highest D(E_F)?

Ac12Mn3H5